Record 1
## SrInAs2 (PBE-GGA)

Data for SrInAs2 after structural relaxation.

It has space group P4mm (No. 99), with a = 3.889 Å, b = 3.889 Å, c = 6.787 Å, α = 90.00°, β = 90.00° and γ = 90.00°. The asymmetric unit holds Sr at (0.000, 0.000, 0.000), In at (0.500, 0.500, 0.679), As at (0.000, 0.000, 0.460) and As at (0.500, 0.500, 0.281).

As for the total magnetization: 0.00 μB/cell. The mass density is 5.7 g cm⁻³. As for the total DFT energy (no corrections): -0.1355 hartree per atom.

=====

Record 2
## Sr5Zr (PBE-GGA)

Data for Sr5Zr after structural relaxation.

It has space group Amm2 (No. 38), with a = 6.505 Å, b = 3.947 Å, c = 21.346 Å, α = 90.00°, β = 90.00° and γ = 90.00°. The asymmetric unit holds Sr at (0.000, 0.000, 0.000), Sr at (0.000, 0.000, 0.303), Sr at (0.500, 0.000, 0.098), Sr at (0.500, 0.000, 0.423), Sr at (0.500, 0.000, 0.749) and Zr at (0.000, 0.000, 0.653).

As for the total magnetization: 4.93 μB/cell. The mass density is 3.2 g cm⁻³. As for the total DFT energy (no corrections): -0.0918 hartree per atom.

=====

Record 3
## PmPrAsP (PBE-GGA)

Data for PmPrAsP after structural relaxation.

It has space group P4/mmm (No. 123), with a = 4.225 Å, b = 4.225 Å, c = 5.964 Å, α = 90.00°, β = 90.00° and γ = 90.00°. The asymmetric unit holds Pm at (0.000, 0.000, 0.000), Pr at (0.500, 0.500, 0.500), As at (0.000, 0.000, 0.500) and P at (0.500, 0.500, 0.000).

As for the total magnetization: 0.00 μB/cell. The mass density is 6.1 g cm⁻³. As for the total DFT energy (no corrections): -0.2356 hartree per atom.

=====

total DFT energy (no corrections) of number 1 (SrInAs2)?
-0.1355 hartree per atom

=====

Which of these has the highest mass density?
PmPrAsP